1.
First-principles (meta-GGA SCAN) data for MgCu3 at its PBEsol-relaxed geometry, as listed in Alexandria via LeMat-Bulk.

Calculated values
Crystal system: tetragonal
ΔH_f (0 K): -0.25 eV per formula unit

Cell lengths 7.902, 7.902, 7.902 Å; angles 153.08, 153.08, 38.44 degrees
Positions (direct):
Mg1 0.126 0.126 0.000
Mg2 0.874 0.874 0.000
Cu1 0.000 0.500 0.500
Cu2 0.250 0.750 0.500
Cu3 0.377 0.377 0.000
Cu4 0.500 0.000 0.500
Cu5 0.623 0.623 0.000
Cu6 0.750 0.250 0.500


2.
First-principles (meta-GGA SCAN) data for Mg2Cu at its PBEsol-relaxed geometry, as listed in Alexandria via LeMat-Bulk.

Calculated values
Crystal system: monoclinic
ΔH_f (0 K): -0.50 eV per formula unit

Cell lengths 5.148, 5.148, 9.439 Å; angles 97.97, 97.97, 119.32 degrees
Positions (direct):
Mg1 0.041 0.959 0.750
Mg2 0.291 0.541 0.583
Mg3 0.291 0.709 0.250
Mg4 0.459 0.709 0.917
Mg5 0.541 0.291 0.083
Mg6 0.709 0.291 0.750
Mg7 0.709 0.459 0.417
Mg8 0.959 0.041 0.250
Cu1 0.002 0.251 0.003
Cu2 0.251 0.002 0.503
Cu3 0.749 0.998 0.497
Cu4 0.998 0.749 0.997


3.
First-principles (meta-GGA SCAN) data for Mg2Cu at its PBEsol-relaxed geometry, as listed in Alexandria via LeMat-Bulk.

Calculated values
Crystal system: hexagonal
ΔH_f (0 K): -0.24 eV per formula unit

Cell lengths 6.990, 6.990, 3.786 Å; angles 90.00, 90.00, 120.00 degrees
Positions (direct):
Mg1 0.000 0.255 0.000
Mg2 0.000 0.592 0.500
Mg3 0.255 0.000 0.000
Mg4 0.408 0.408 0.500
Mg5 0.592 0.000 0.500
Mg6 0.745 0.745 0.000
Cu1 0.000 0.000 0.500
Cu2 0.333 0.667 0.000
Cu3 0.667 0.333 0.000


4.
First-principles (meta-GGA SCAN) data for MgCu at its PBEsol-relaxed geometry, as listed in Alexandria via LeMat-Bulk.

Calculated values
Crystal system: cubic
ΔH_f (0 K): -0.25 eV per formula unit

Cell lengths 3.099, 3.099, 3.099 Å; angles 90.00, 90.00, 90.00 degrees
Positions (direct):
Mg1 0.000 0.000 0.000
Cu1 0.500 0.500 0.500


5.
First-principles (meta-GGA SCAN) data for Mg3Cu at its PBEsol-relaxed geometry, as listed in Alexandria via LeMat-Bulk.

Calculated values
Crystal system: hexagonal
ΔH_f (0 K): -0.38 eV per formula unit

Cell lengths 7.860, 7.860, 8.357 Å; angles 90.00, 90.00, 120.00 degrees
Positions (direct):
Mg1 0.000 0.000 0.244
Mg2 0.000 0.000 0.744
Mg3 0.000 0.276 0.000
Mg4 0.000 0.380 0.344
Mg5 0.000 0.620 0.844
Mg6 0.000 0.724 0.500
Mg7 0.276 0.000 0.000
Mg8 0.276 0.276 0.500
Mg9 0.333 0.667 0.121
Mg10 0.333 0.667 0.621
Mg11 0.380 0.000 0.344
Mg12 0.380 0.380 0.844
Mg13 0.620 0.000 0.844
Mg14 0.620 0.620 0.344
Mg15 0.667 0.333 0.121
Mg16 0.667 0.333 0.621
Mg17 0.724 0.000 0.500
Mg18 0.724 0.724 0.000
Cu1 0.000 0.327 0.672
Cu2 0.000 0.673 0.172
Cu3 0.327 0.000 0.672
Cu4 0.327 0.327 0.172
Cu5 0.673 0.000 0.172
Cu6 0.673 0.673 0.672


6.
First-principles (meta-GGA SCAN) data for MgCu at its PBEsol-relaxed geometry, as listed in Alexandria via LeMat-Bulk.

Calculated values
Crystal system: tetragonal
ΔH_f (0 K): -0.16 eV per formula unit

Cell lengths 4.931, 4.931, 4.931 Å; angles 134.96, 134.96, 65.60 degrees
Positions (direct):
Mg1 0.375 0.625 0.750
Mg2 0.625 0.375 0.250
Cu1 0.125 0.875 0.250
Cu2 0.875 0.125 0.750


7.
First-principles (meta-GGA SCAN) data for Mg2Cu at its PBEsol-relaxed geometry, as listed in Alexandria via LeMat-Bulk.

Calculated values
Crystal system: trigonal
ΔH_f (0 K): 0.02 eV per formula unit

Cell lengths 4.510, 4.510, 2.892 Å; angles 90.00, 90.00, 120.00 degrees
Positions (direct):
Mg1 0.333 0.667 0.287
Mg2 0.667 0.333 0.713
Cu1 0.000 0.000 0.000


8.
First-principles (meta-GGA SCAN) data for Mg4Cu3 at its PBEsol-relaxed geometry, as listed in Alexandria via LeMat-Bulk.

Calculated values
Crystal system: tetragonal
ΔH_f (0 K): -0.54 eV per formula unit

Cell lengths 12.189, 12.189, 12.189 Å; angles 165.45, 165.45, 20.63 degrees
Positions (direct):
Mg1 0.065 0.065 0.000
Mg2 0.340 0.340 0.000
Mg3 0.660 0.660 0.000
Mg4 0.935 0.935 0.000
Cu1 0.226 0.226 0.000
Cu2 0.500 0.500 0.000
Cu3 0.774 0.774 0.000


Among the records above, which one has the highest ΔH_f (0 K)?
number 7